Material: CaScMo2
Method: DFT, GGA-PBE
State: optimized geometry

Cell lengths 3.2698, 3.2698, 8.2379 Å; angles 90.00, 90.00, 90.00 degrees
Space group P4mm (No. 99)
Symmetry-distinct sites (fractional):
Ca1 0.0000 0.0000 0.0000
Sc1 0.5000 0.5000 0.6367
Mo1 0.0000 0.0000 0.4273
Mo2 0.5000 0.5000 0.2692

Its volume is 88 Å³/cell. The value obtained for the density of states at the Fermi level is 3.5 states/eV per cell. As for the raw total energy: -7.29 eV/atom. For the offset from the most stable computed form, the calculation gives 0.0 kJ/mol of atoms. The calculation puts the energy of formation from the pure elements at 0.21 eV per atom.

---

Material: TaAl3Se
Method: DFT, GGA-PBE
State: optimized geometry

Cell lengths 4.7263, 4.7263, 4.7263 Å; angles 90.00, 90.00, 90.00 degrees
Space group Pm-3m (No. 221)
Symmetry-distinct sites (fractional):
Ta1 0.0000 0.0000 0.0000
Al1 0.0000 0.5000 0.5000
Se1 0.5000 0.5000 0.5000

Its volume is 106 Å³/cell. The value obtained for the density of states at the Fermi level is 2.3 states/eV per cell. As for the raw total energy: -4.28 eV/atom. For the offset from the most stable computed form, the calculation gives 0.0 kJ/mol of atoms. The value obtained for the formation energy (no corrections) is 5.19 eV/f.u.

---

Material: ErZn2Au8
Method: DFT, GGA-PBE
State: optimized geometry

Cell lengths 15.0737, 4.0547, 6.8803 Å; angles 90.00, 108.53, 90.00 degrees
Space group C2/m (No. 12)
Symmetry-distinct sites (fractional):
Er1 0.0000 0.0000 0.0000
Zn1 0.2200 0.5000 0.6605
Au1 0.0426 0.5000 0.7217
Au2 0.1066 0.0000 0.4629
Au3 0.1489 0.5000 0.2125
Au4 0.1796 0.0000 0.9164

Its volume is 399 Å³/cell. The value obtained for the density of states at the Fermi level is 6.2 states/eV per cell. As for the raw total energy: -3.37 eV/atom. The calculation puts the energy of formation from the pure elements at -0.34 eV per atom.

---

Material: Pm2YTl
Method: DFT, GGA-PBE
State: optimized geometry

Cell lengths 3.5945, 3.5945, 36.9256 Å; angles 90.00, 90.00, 120.00 degrees
Space group R-3m (No. 166, hexagonal axes)
Symmetry-distinct sites (fractional):
Pm1 0.0000 0.0000 0.0887
Y1 0.0000 0.0000 0.5000
Tl1 0.0000 0.0000 0.0000

Its volume is 413 Å³/cell. The value obtained for the density of states at the Fermi level is 13.6 states/eV per cell. As for the raw total energy: -4.50 eV/atom. For the offset from the most stable computed form, the calculation gives 27.2 kJ/mol of atoms. The calculation puts the energy of formation from the pure elements at 0.08 eV per atom.

---

Material: Ac5Ga2N2
Method: DFT, GGA-PBE
State: optimized geometry

Cell lengths 20.1782, 7.5723, 7.3193 Å; angles 90.00, 90.00, 90.00 degrees
Space group Ima2 (No. 46)
Symmetry-distinct sites (fractional):
Ac1 0.0111 0.2455 0.0000
Ac2 0.1434 0.5501 0.2269
Ac3 0.2500 0.1174 0.1518
Ga1 0.1053 0.5198 0.7552
N1 0.0000 0.0000 0.7413
N2 0.2500 0.0842 0.8028

Its volume is 1118 Å³/cell. The value obtained for the density of states at the Fermi level is 24.2 states/eV per cell. As for the raw total energy: -5.49 eV/atom. For the offset from the most stable computed form, the calculation gives 0.0 kJ/mol of atoms. The value obtained for the formation energy (no corrections) is -6.19 eV/f.u.

---

Material: KNaIn2Cl4
Method: DFT, GGA-PBE
State: optimized geometry

Cell lengths 7.6057, 4.3959, 7.7770 Å; angles 90.00, 109.01, 90.00 degrees
Space group P2/m (No. 10)
Symmetry-distinct sites (fractional):
K1 0.0000 0.0000 0.0000
Na1 0.5000 0.5000 0.0000
In1 0.0000 0.5000 0.5000
In2 0.5000 0.0000 0.5000
Cl1 0.2593 0.5000 0.2310
Cl2 0.2691 0.0000 0.7738

Its volume is 246 Å³/cell. The value obtained for the density of states at the Fermi level is 0.0 states/eV per cell. As for the raw total energy: -3.23 eV/atom. The value obtained for the formation energy (no corrections) is -10.53 eV/f.u.

---

Material: AlSiSbI2
Method: DFT, GGA-PBE
State: optimized geometry

Cell lengths 5.5480, 5.5480, 5.4245 Å; angles 90.00, 90.00, 90.00 degrees
Space group P4/mmm (No. 123)
Symmetry-distinct sites (fractional):
Al1 0.0000 0.0000 0.0000
Si1 0.5000 0.5000 0.5000
Sb1 0.5000 0.5000 0.0000
I1 0.0000 0.5000 0.5000

Its volume is 167 Å³/cell. The value obtained for the density of states at the Fermi level is 3.3 states/eV per cell. As for the raw total energy: -2.79 eV/atom. For the offset from the most stable computed form, the calculation gives 0.0 kJ/mol of atoms. The value obtained for the formation energy (no corrections) is 2.44 eV/f.u.

---

- Which formula does entry 5 have?
  Ac5Ga2N2